Model one:
VASP calculation (PBE-GGA) on a relaxed structure of KPdCl.

Output
theoretical density = 3699 kg/m3

Geometry as CIF:
```
data_KPdCl
_chemical_formula_sum 'K2 Pd2 Cl2'
_cell_length_a 5.122
_cell_length_b 5.122
_cell_length_c 6.194
_cell_angle_alpha 90.00
_cell_angle_beta 90.00
_cell_angle_gamma 90.00
_space_group_name_H-M_alt 'P 4/n m m'
_space_group_IT_number 129
loop_
_space_group_symop_operation_xyz
'x,y,z'
'-x,-y,-z'
'-y+1/2,x,z'
'y+1/2,-x,-z'
'-x+1/2,-y+1/2,z'
'x+1/2,y+1/2,-z'
'y,-x+1/2,z'
'-y,x+1/2,-z'
'x+1/2,-y,-z'
'-x+1/2,y,z'
'-y,-x,-z'
'y,x,z'
'-x,y+1/2,-z'
'x,-y+1/2,z'
'y+1/2,x+1/2,-z'
'-y+1/2,-x+1/2,z'
loop_
_atom_site_label
_atom_site_fract_x
_atom_site_fract_y
_atom_site_fract_z
K1 0.250 0.250 0.171
Pd1 0.250 0.250 0.656
Cl1 0.250 0.750 0.500
```

---

Model two:
VASP calculation (PBE-GGA) on a relaxed structure of KPdCl.

Output
theoretical density = 4004 kg/m3

Geometry as CIF:
```
data_KPdCl
_chemical_formula_sum 'K2 Pd2 Cl2'
_cell_length_a 4.3840
_cell_length_b 4.3840
_cell_length_c 9.0175
_cell_angle_alpha 90.00
_cell_angle_beta 90.00
_cell_angle_gamma 120.00
_space_group_name_H-M_alt 'P 63/m m c'
_space_group_IT_number 194
_space_group_name_Hall '-P 6c 2c'
loop_
_atom_site_label
_atom_site_fract_x
_atom_site_fract_y
_atom_site_fract_z
K1 0.0000 0.0000 0.0000
Pd1 0.3333 0.6667 0.2500
Cl1 0.3333 0.6667 0.7500
```

---

What is the least stable structure shown above? It is model one.